# SrMg10Zn3

A relaxed SrMg10Zn3 crystal (PBE, Alexandria).

```
data_SrMg10Zn3
_chemical_formula_sum 'Sr2 Mg20 Zn6'
_space_group_name_H-M_alt 'P 1'
_space_group_IT_number 1
_space_group_name_Hall 'P 1'
_cell_length_a 9.877
_cell_length_b 9.877
_cell_length_c 9.877
_cell_angle_alpha 60.00
_cell_angle_beta 60.00
_cell_angle_gamma 60.00
loop_
_atom_site_label
_atom_site_type_symbol
_atom_site_fract_x
_atom_site_fract_y
_atom_site_fract_z
Sr1 Sr 0.250 0.250 0.250
Sr2 Sr 0.750 0.750 0.750
Mg1 Mg 0.000 0.000 0.340
Mg2 Mg 0.000 0.000 0.660
Mg3 Mg 0.000 0.340 0.000
Mg4 Mg 0.000 0.340 0.660
Mg5 Mg 0.000 0.660 0.000
Mg6 Mg 0.000 0.660 0.340
Mg7 Mg 0.168 0.611 0.611
Mg8 Mg 0.340 0.000 0.000
Mg9 Mg 0.340 0.000 0.660
Mg10 Mg 0.340 0.660 0.000
Mg11 Mg 0.389 0.389 0.389
Mg12 Mg 0.389 0.389 0.832
Mg13 Mg 0.389 0.832 0.389
Mg14 Mg 0.611 0.168 0.611
Mg15 Mg 0.611 0.611 0.168
Mg16 Mg 0.611 0.611 0.611
Mg17 Mg 0.660 0.000 0.000
Mg18 Mg 0.660 0.000 0.340
Mg19 Mg 0.660 0.340 0.000
Mg20 Mg 0.832 0.389 0.389
Zn1 Zn 0.267 0.267 0.733
Zn2 Zn 0.267 0.733 0.267
Zn3 Zn 0.267 0.733 0.733
Zn4 Zn 0.733 0.267 0.267
Zn5 Zn 0.733 0.267 0.733
Zn6 Zn 0.733 0.733 0.267
```

calculated total energy: -1.524 eV per atom
SG: Fm-3m
E_form: 0.01 eV/atom